Pr2Sm7Ho3: relaxed, PBE-GGA.

```
Pr2Sm7Ho3
1.0
3.6517 0.0000 0.0000
0.0000 5.7903 0.0000
0.0000 -2.8951 19.1951
Sm Ho Pr
7 3 2
Direct
0.0000 0.0000 0.0000 Sm
0.0000 0.2311 0.4623 Sm
0.5000 0.9289 0.8577 Sm
0.0000 0.4101 0.8202 Sm
0.0000 0.7689 0.5377 Sm
0.5000 0.0711 0.1423 Sm
0.0000 0.5899 0.1798 Sm
0.5000 0.5000 0.0000 Ho
0.5000 0.3142 0.6285 Ho
0.5000 0.6858 0.3715 Ho
0.0000 0.8520 0.7039 Pr
0.0000 0.1480 0.2961 Pr
```

Energy relative to the elements in meV/atom: 113
Energy above the lowest structure with this stoichiometry in meV per atom: 45
M_tot in μB per formula unit: 0.000